# Ce2ZnIn2, relaxed, DFT PBE
# - Distance to the lowest polymorph of the same formula: 0.049 eV per atom
data_Ce2ZnIn2
_chemical_formula_sum 'Ce8 Zn4 In8'
_cell_length_a 4.5993
_cell_length_b 16.4224
_cell_length_c 6.7172
_cell_angle_alpha 90.00
_cell_angle_beta 90.00
_cell_angle_gamma 90.00
_space_group_name_H-M_alt 'C m c 21'
_space_group_IT_number 36
_space_group_name_Hall 'C 2c -2'
loop_
_atom_site_label
_atom_site_fract_x
_atom_site_fract_y
_atom_site_fract_z
Ce1 0.0000 0.0303 0.0000
Ce2 0.0000 0.1959 0.9523
Zn1 0.0000 0.3961 0.7410
In1 0.0000 0.1684 0.4369
In2 0.0000 0.4033 0.1953

# Ce2ZnIn2, relaxed, DFT PBE
# - Distance to the lowest polymorph of the same formula: 0.000 eV per atom
data_Ce2ZnIn2
_chemical_formula_sum 'Ce8 Zn4 In8'
_cell_length_a 11.1892
_cell_length_b 4.7911
_cell_length_c 11.1138
_cell_angle_alpha 90.00
_cell_angle_beta 116.54
_cell_angle_gamma 90.00
_space_group_name_H-M_alt 'C 1 2/m 1'
_space_group_IT_number 12
_space_group_name_Hall '-C 2y'
loop_
_atom_site_label
_atom_site_fract_x
_atom_site_fract_y
_atom_site_fract_z
Ce1 0.0241 0.0000 0.3399
Ce2 0.1749 0.0000 0.0925
Zn1 0.2247 0.5000 0.3451
In1 0.0204 0.5000 0.8743
In2 0.1459 0.5000 0.5715

A plane-wave DFT calculation with PBE was carried out for Ce2Zn6In after structural relaxation.

Geometry as CIF:
```
data_Ce2Zn6In
_chemical_formula_sum 'Ce2 Zn6 In1'
_cell_length_a 5.9384
_cell_length_b 5.9384
_cell_length_c 5.8375
_cell_angle_alpha 90.00
_cell_angle_beta 90.00
_cell_angle_gamma 120.00
_space_group_name_H-M_alt 'P -3 m 1'
_space_group_IT_number 164
_space_group_name_Hall '-P 3 2"'
loop_
_atom_site_label
_atom_site_fract_x
_atom_site_fract_y
_atom_site_fract_z
Ce1 0.3333 0.6667 0.3405
Zn1 0.1840 0.3681 0.8478
In1 0.0000 0.0000 0.5000
```

A plane-wave DFT calculation with PBE was carried out for Ce3Zn8In3 after structural relaxation.

Geometry as CIF:
```
data_Ce3Zn8In3
_chemical_formula_sum 'Ce6 Zn16 In6'
_cell_length_a 4.4769
_cell_length_b 9.6734
_cell_length_c 13.4294
_cell_angle_alpha 90.00
_cell_angle_beta 90.00
_cell_angle_gamma 90.00
_space_group_name_H-M_alt 'I m m m'
_space_group_IT_number 71
_space_group_name_Hall '-I 2 2'
loop_
_atom_site_label
_atom_site_fract_x
_atom_site_fract_y
_atom_site_fract_z
Ce1 0.0000 0.0000 0.0000
Ce2 0.0000 0.0000 0.3035
Zn1 0.0000 0.2653 0.1547
Zn2 0.0000 0.3722 0.3340
In1 0.0000 0.2192 0.5000
In2 0.0000 0.5000 0.0000
```

A plane-wave DFT calculation with PBE was carried out for Ce2Zn15In2 after structural relaxation.

Geometry as CIF:
```
data_Ce2Zn15In2
_chemical_formula_sum 'Ce6 Zn45 In6'
_cell_length_a 9.2727
_cell_length_b 9.2727
_cell_length_c 13.3412
_cell_angle_alpha 90.00
_cell_angle_beta 90.00
_cell_angle_gamma 120.00
_space_group_name_H-M_alt 'R -3 m'
_space_group_IT_number 166
_space_group_name_Hall '-R 3 2"'
loop_
_atom_site_label
_atom_site_fract_x
_atom_site_fract_y
_atom_site_fract_z
Ce1 0.0000 0.0000 0.1580
Zn1 0.0000 0.3084 0.5000
Zn2 0.0000 0.5000 0.0000
Zn3 0.0159 0.5079 0.6548
In1 0.0000 0.0000 0.3948
```

# CeZrIn, relaxed, DFT PBE
# - Distance to the lowest polymorph of the same formula: 0.333 eV per atom
data_CeZrIn
_chemical_formula_sum 'Ce8 Zr8 In8'
_cell_length_a 11.0052
_cell_length_b 11.0052
_cell_length_c 5.0865
_cell_angle_alpha 90.00
_cell_angle_beta 90.00
_cell_angle_gamma 90.00
_space_group_name_H-M_alt 'I 4/m m m'
_space_group_IT_number 139
_space_group_name_Hall '-I 4 2'
loop_
_atom_site_label
_atom_site_fract_x
_atom_site_fract_y
_atom_site_fract_z
Ce1 0.0000 0.3722 0.0000
Zr1 0.1757 0.1757 0.0000
In1 0.0000 0.2013 0.5000

A plane-wave DFT calculation with PBE was carried out for CeZrIn4 after structural relaxation.

Geometry as CIF:
```
data_CeZrIn4
_chemical_formula_sum 'Ce4 Zr4 In16'
_cell_length_a 8.4024
_cell_length_b 8.4024
_cell_length_c 8.4024
_cell_angle_alpha 90.00
_cell_angle_beta 90.00
_cell_angle_gamma 90.00
_space_group_name_H-M_alt 'F -4 3 m'
_space_group_IT_number 216
_space_group_name_Hall 'F -4 2 3'
loop_
_atom_site_label
_atom_site_fract_x
_atom_site_fract_y
_atom_site_fract_z
Ce1 0.0000 0.0000 0.0000
Zr1 0.2500 0.2500 0.7500
In1 0.1248 0.1248 0.3752
```

A plane-wave DFT calculation with PBE was carried out for Ce4ZrIn5 after structural relaxation.

Geometry as CIF:
```
data_Ce4ZrIn5
_chemical_formula_sum 'Ce4 Zr1 In5'
_cell_length_a 3.2895
_cell_length_b 3.2895
_cell_length_c 23.6817
_cell_angle_alpha 90.00
_cell_angle_beta 90.00
_cell_angle_gamma 90.00
_space_group_name_H-M_alt 'P 4/m m m'
_space_group_IT_number 123
_space_group_name_Hall '-P 4 2'
loop_
_atom_site_label
_atom_site_fract_x
_atom_site_fract_y
_atom_site_fract_z
Ce1 0.0000 0.0000 0.1029
Ce2 0.0000 0.0000 0.3087
Zr1 0.0000 0.0000 0.5000
In1 0.5000 0.5000 0.0000
In2 0.5000 0.5000 0.2057
In3 0.5000 0.5000 0.4108
```

Q: Which DFT total energy values were calculated for the entries above? A: -19.90, -20.14, -24.59, -40.15, -40.09, -16.77, -26.31, -49.48, in eV per formula unit.
Q: Which Fermi-level density of states values were calculated for the entries above? A: 1.8039, 2.4129, 1.4830, 1.3962, 0.7895, 1.7758, 1.5509, 2.1574, in states/eV per atom.